[1]
Material: ZrScP
Method: DFT, PBE
State: relaxed

Total magnetic moment: 0.2 μB/f.u.
SG: P3m1
Formation energy: -84.02 kJ/mol of atoms
DOS at the Fermi energy: 0.6966 states/eV/atom

Cell lengths 3.588, 3.588, 5.747 Å; angles 90.00, 90.00, 120.00 degrees
Atoms (fractional coordinates):
Zr (0.000, 0.000, 0.000)
Sc (0.667, 0.333, 0.534)
P (0.333, 0.667, 0.266)

[2]
Material: Pm4ErIn2
Method: DFT, PBE
State: relaxed

Total magnetic moment: 0.0 μB/f.u.
SG: I4/mmm
Formation energy: 10.71 kJ/mol of atoms
DOS at the Fermi energy: 1.4442 states/eV/atom

Cell lengths 7.678, 7.678, 7.678 Å; angles 134.58, 134.58, 66.19 degrees
Atoms (fractional coordinates):
Pm (0.000, 0.500, 0.500)
Pm (0.250, 0.750, 0.500)
Pm (0.500, 0.000, 0.500)
Pm (0.750, 0.250, 0.500)
Er (0.000, 0.000, 0.000)
In (0.377, 0.377, 0.000)
In (0.623, 0.623, 0.000)

[3]
Material: Ho2Si12Pt7
Method: DFT, PBE
State: relaxed

Total magnetic moment: 0.0 μB/f.u.
SG: P-3
DOS at the Fermi energy: 0.1792 states/eV/atom
E_form (uncorrected): -0.5930 eV/atom

Cell lengths 10.064, 10.064, 3.928 Å; angles 90.00, 90.00, 120.00 degrees
Atoms (fractional coordinates):
Ho (0.333, 0.667, 0.221)
Ho (0.667, 0.333, 0.779)
Si (0.064, 0.441, 0.768)
Si (0.115, 0.266, 0.218)
Si (0.151, 0.885, 0.218)
Si (0.266, 0.151, 0.782)
Si (0.377, 0.936, 0.768)
Si (0.441, 0.377, 0.232)
Si (0.559, 0.623, 0.768)
Si (0.623, 0.064, 0.232)
Si (0.734, 0.849, 0.218)
Si (0.849, 0.115, 0.782)
Si (0.885, 0.734, 0.782)
Si (0.936, 0.559, 0.232)
Pt (0.000, 0.000, 0.000)
Pt (0.114, 0.706, 0.697)
Pt (0.294, 0.408, 0.697)
Pt (0.408, 0.114, 0.303)
Pt (0.592, 0.886, 0.697)
Pt (0.706, 0.592, 0.303)
Pt (0.886, 0.294, 0.303)

[4]
Material: Rb2CaAlI6
Method: DFT, PBE
State: relaxed

Total magnetic moment: 0.7 μB/f.u.
SG: Fm-3m
DOS at the Fermi energy: 0.3305 states/eV/atom
E_form (uncorrected): -1.1203 eV/atom

Cell lengths 8.547, 8.547, 8.547 Å; angles 60.00, 60.00, 60.00 degrees
Atoms (fractional coordinates):
Rb (0.250, 0.250, 0.250)
Rb (0.750, 0.750, 0.750)
Ca (0.000, 0.000, 0.000)
Al (0.500, 0.500, 0.500)
I (0.258, 0.258, 0.742)
I (0.258, 0.742, 0.258)
I (0.258, 0.742, 0.742)
I (0.742, 0.258, 0.258)
I (0.742, 0.258, 0.742)
I (0.742, 0.742, 0.258)

[5]
Material: SrTmTl2
Method: DFT, PBE
State: relaxed

Total magnetic moment: 0.0 μB/f.u.
SG: R3m
Formation energy: -18.81 kJ/mol of atoms
DOS at the Fermi energy: 0.9621 states/eV/atom

Cell lengths 10.274, 10.274, 10.274 Å; angles 21.61, 21.61, 21.61 degrees
Atoms (fractional coordinates):
Sr (0.000, 0.000, 0.000)
Tm (0.168, 0.168, 0.168)
Tl (0.579, 0.579, 0.579)
Tl (0.755, 0.755, 0.755)

[6]
Material: SrAlVAg2
Method: DFT, PBE
State: relaxed

Total magnetic moment: 0.5 μB/f.u.
SG: P4/mmm
Formation energy: 102.81 kJ/mol of atoms
DOS at the Fermi energy: 1.3777 states/eV/atom

Cell lengths 4.891, 4.891, 5.797 Å; angles 90.00, 90.00, 90.00 degrees
Atoms (fractional coordinates):
Sr (0.000, 0.000, 0.000)
Al (0.000, 0.000, 0.500)
V (0.500, 0.500, 0.000)
Ag (0.000, 0.500, 0.500)
Ag (0.500, 0.000, 0.500)

What did the third record say?
Material: Ho2Si12Pt7
Method: DFT, PBE
State: relaxed

Total magnetic moment: 0.0 μB/f.u.
SG: P-3
DOS at the Fermi energy: 0.1792 states/eV/atom
E_form (uncorrected): -0.5930 eV/atom

Cell lengths 10.064, 10.064, 3.928 Å; angles 90.00, 90.00, 120.00 degrees
Atoms (fractional coordinates):
Ho (0.333, 0.667, 0.221)
Ho (0.667, 0.333, 0.779)
Si (0.064, 0.441, 0.768)
Si (0.115, 0.266, 0.218)
Si (0.151, 0.885, 0.218)
Si (0.266, 0.151, 0.782)
Si (0.377, 0.936, 0.768)
Si (0.441, 0.377, 0.232)
Si (0.559, 0.623, 0.768)
Si (0.623, 0.064, 0.232)
Si (0.734, 0.849, 0.218)
Si (0.849, 0.115, 0.782)
Si (0.885, 0.734, 0.782)
Si (0.936, 0.559, 0.232)
Pt (0.000, 0.000, 0.000)
Pt (0.114, 0.706, 0.697)
Pt (0.294, 0.408, 0.697)
Pt (0.408, 0.114, 0.303)
Pt (0.592, 0.886, 0.697)
Pt (0.706, 0.592, 0.303)
Pt (0.886, 0.294, 0.303)